[1]
## Fe2TcAs2 (PBE-GGA)

Data for a relaxed structure of Fe2TcAs2.

The value obtained for the mass density is 9.257 g/cm³. The calculation puts the formation energy at 118 meV/atom. The total magnetic moment is 0.0345 μB/atom.

The structure belongs to space group P4/mbm (No. 127); the cell edges are 6.854, 6.854 and 2.746 Å and the angles 90.00°, 90.00° and 90.00°. The inequivalent atoms are Fe at (0.143, 0.357, 0.000), Tc at (0.000, 0.000, 0.500) and As at (0.155, 0.655, 0.500).

[2]
## V2InAu (PBE-GGA)

Data for a relaxed structure of V2InAu.

The value obtained for the mass density is 9.452 g/cm³. The calculation puts the formation energy at 558 meV/atom. The total magnetic moment is 0.0000 μB/atom.

The structure belongs to space group I-42d (No. 122); the cell edges are 7.320, 7.320 and 5.425 Å and the angles 90.00°, 90.00° and 90.00°. The inequivalent atoms are V at (0.235, 0.250, 0.125), In at (0.000, 0.000, 0.500) and Au at (0.000, 0.000, 0.000).

For reference, density of states at the Fermi level by record: 10.52, 14.09 states/eV per cell.